HW3Au | PBE-GGA | relaxed

Properties
* distance to the lowest polymorph of the same formula: 3173 meV per atom
* DFT total energy: -5.64 eV per atom
* size of the total moment: 0.00 μB/f.u.
* volume: 23.24 A^3/atom
* density: 10.71 g/cm³

Unit cell a=4.8798 b=4.8798 c=4.8798 alpha=90.00 beta=90.00 gamma=90.00
Space group Pm-3m (No. 221)
Unique sites:
H (0.0000, 0.0000, 0.0000) [1 per cell]
W (0.0000, 0.5000, 0.5000) [3 per cell]
Au (0.5000, 0.5000, 0.5000) [1 per cell]